Entry 1:
This record from the Alexandria database describes an optimized crystal structure of Hf2TlIr. The functional is PBE.

- Symmetry: P4/mmm
- Energy relative to the lowest polymorph listed for this composition: 0 meV per atom
- Raw total energy: -8.167 eV per atom

Lattice parameters (Å, degrees): 3.088 3.088 8.386 90.00 90.00 90.00
Fractional coordinates of all 4 atoms:
Hf1 0.000 0.000 0.215
Hf2 0.000 0.000 0.785
Tl1 0.500 0.500 0.500
Ir1 0.500 0.500 0.000

=====

Entry 2:
This record from the Alexandria database describes an optimized crystal structure of HfTl2Ir. The functional is PBE.

- Symmetry: Fm-3m
- Energy relative to the lowest polymorph listed for this composition: 0 meV per atom
- Raw total energy: -5.544 eV per atom

Lattice parameters (Å, degrees): 4.850 4.850 4.850 60.00 60.00 60.00
Fractional coordinates of all 4 atoms:
Hf1 0.000 0.000 0.000
Tl1 0.250 0.250 0.250
Tl2 0.750 0.750 0.750
Ir1 0.500 0.500 0.500

=====

Entry 3:
This record from the Alexandria database describes an optimized crystal structure of Hf2TlIr. The functional is PBE.

- Symmetry: I-42d
- Energy relative to the lowest polymorph listed for this composition: 388 meV per atom
- Raw total energy: -7.779 eV per atom

Lattice parameters (Å, degrees): 6.219 6.219 6.219 104.52 104.52 119.90
Fractional coordinates of all 8 atoms:
Hf1 0.077 0.625 0.952
Hf2 0.375 0.327 0.452
Hf3 0.673 0.125 0.048
Hf4 0.875 0.923 0.548
Tl1 0.250 0.750 0.500
Tl2 0.500 0.500 0.000
Ir1 0.000 0.000 0.000
Ir2 0.750 0.250 0.500

=====

Entry 4:
This record from the Alexandria database describes an optimized crystal structure of HfTl2Ir. The functional is PBE.

- Symmetry: I-42d
- Energy relative to the lowest polymorph listed for this composition: 75 meV per atom
- Raw total energy: -5.469 eV per atom

Lattice parameters (Å, degrees): 6.301 6.301 6.301 101.89 101.89 126.00
Fractional coordinates of all 8 atoms:
Hf1 0.000 0.000 0.000
Hf2 0.750 0.250 0.500
Tl1 0.153 0.125 0.528
Tl2 0.375 0.847 0.972
Tl3 0.597 0.625 0.472
Tl4 0.875 0.403 0.028
Ir1 0.250 0.750 0.500
Ir2 0.500 0.500 0.000

=====

Entry 5:
This record from the Alexandria database describes an optimized crystal structure of HfTlZn2Ir. The functional is PBE.

- Symmetry: P4/mmm
- Raw total energy: -4.640 eV per atom

Lattice parameters (Å, degrees): 4.866 4.866 4.964 90.00 90.00 90.00
Fractional coordinates of all 5 atoms:
Hf1 0.000 0.000 0.000
Tl1 0.500 0.500 0.000
Zn1 0.000 0.500 0.500
Zn2 0.500 0.000 0.500
Ir1 0.000 0.000 0.500

=====

Entry 6:
This record from the Alexandria database describes an optimized crystal structure of TmHfIr2. The functional is PBE.

- Symmetry: Fm-3m
- Energy relative to the lowest polymorph listed for this composition: 44 meV per atom
- Raw total energy: -8.934 eV per atom

Lattice parameters (Å, degrees): 4.709 4.709 4.709 60.00 60.00 60.00
Fractional coordinates of all 4 atoms:
Tm1 0.000 0.000 0.000
Hf1 0.500 0.500 0.500
Ir1 0.250 0.250 0.250
Ir2 0.750 0.750 0.750

=====

Entry 7:
This record from the Alexandria database describes an optimized crystal structure of TmHf2Ir2. The functional is PBE.

- Symmetry: I4/mmm
- Raw total energy: -9.233 eV per atom

Lattice parameters (Å, degrees): 6.333 6.333 6.333 138.96 138.96 59.43
Fractional coordinates of all 5 atoms:
Tm1 0.000 0.000 0.000
Hf1 0.250 0.750 0.500
Hf2 0.750 0.250 0.500
Ir1 0.384 0.384 0.000
Ir2 0.616 0.616 0.000

=====

Entry 8:
This record from the Alexandria database describes an optimized crystal structure of TmHf2Ir3. The functional is PBE.

- Symmetry: P4/mmm
- Raw total energy: -9.424 eV per atom

Lattice parameters (Å, degrees): 3.260 3.260 10.361 90.00 90.00 90.00
Fractional coordinates of all 6 atoms:
Tm1 0.000 0.000 0.000
Hf1 0.000 0.000 0.337
Hf2 0.000 0.000 0.663
Ir1 0.500 0.500 0.189
Ir2 0.500 0.500 0.500
Ir3 0.500 0.500 0.811

=====

Entry 9:
This record from the Alexandria database describes an optimized crystal structure of TmHfIr2. The functional is PBE.

- Symmetry: P4/mmm
- Energy relative to the lowest polymorph listed for this composition: 0 meV per atom
- Raw total energy: -8.978 eV per atom

Lattice parameters (Å, degrees): 3.301 3.301 6.823 90.00 90.00 90.00
Fractional coordinates of all 4 atoms:
Tm1 0.000 0.000 0.000
Hf1 0.000 0.000 0.500
Ir1 0.500 0.500 0.271
Ir2 0.500 0.500 0.729

=====

Entry 10:
This record from the Alexandria database describes an optimized crystal structure of TmHfZnIr. The functional is PBE.

- Symmetry: F-43m
- Raw total energy: -6.705 eV per atom

Lattice parameters (Å, degrees): 4.759 4.759 4.759 60.00 60.00 60.00
Fractional coordinates of all 4 atoms:
Tm1 0.000 0.000 0.000
Hf1 0.500 0.500 0.500
Zn1 0.750 0.750 0.750
Ir1 0.250 0.250 0.250

=====

Entry 11:
This record from the Alexandria database describes an optimized crystal structure of Hf2UIr. The functional is PBE.

- Symmetry: P4/mmm
- Energy relative to the lowest polymorph listed for this composition: 0 meV per atom
- Raw total energy: -10.324 eV per atom

Lattice parameters (Å, degrees): 3.159 3.159 8.068 90.00 90.00 90.00
Fractional coordinates of all 4 atoms:
Hf1 0.000 0.000 0.215
Hf2 0.000 0.000 0.785
U1 0.500 0.500 0.500
Ir1 0.500 0.500 0.000

=====

Entry 12:
This record from the Alexandria database describes an optimized crystal structure of Hf2UIr. The functional is PBE.

- Symmetry: P4/mmm
- Energy relative to the lowest polymorph listed for this composition: 147 meV per atom
- Raw total energy: -10.176 eV per atom

Lattice parameters (Å, degrees): 4.971 4.971 3.103 90.00 90.00 90.00
Fractional coordinates of all 4 atoms:
Hf1 0.000 0.500 0.000
Hf2 0.500 0.000 0.000
U1 0.000 0.000 0.500
Ir1 0.500 0.500 0.500